! Ac2LaCo3, relaxed, DFT PBE; values from VASP
&SYSTEM
  ibrav = 0, nat = 12, ntyp = 3
/
ATOMIC_SPECIES
Ac 227.00 Ac.upf
La 138.91 La.upf
Co 58.93 Co.upf
CELL_PARAMETERS angstrom
4.689 0.000 0.000
0.000 7.417 -4.248
0.000 -0.067 8.482
ATOMIC_POSITIONS angstrom
Ac 3.517 3.652 0.679
Ac 1.172 3.698 3.555
Ac 1.172 6.154 -0.755
Ac 3.517 1.196 4.988
La 1.172 1.189 -0.681
La 3.517 6.228 -3.567
Co 0.000 1.181 2.063
Co 2.344 6.169 2.171
Co 0.000 3.708 -2.124
Co 2.344 3.708 -2.124
Co 0.000 6.169 2.171
Co 2.344 1.181 2.063
! Fermi-level density of states = 3.61 states/eV/f.u.
! E_tot = -5.77 eV/atom
! total moment = 0.278 μB/atom


! Ac3LaCo, relaxed, DFT PBE; values from VASP
&SYSTEM
  ibrav = 0, nat = 5, ntyp = 3
/
ATOMIC_SPECIES
Ac 227.00 Ac.upf
Co 58.93 Co.upf
La 138.91 La.upf
CELL_PARAMETERS angstrom
-4.227 3.452 -1.736
-2.731 -4.489 -2.278
-2.734 -0.854 4.959
ATOMIC_POSITIONS angstrom
Ac -1.365 -2.244 -1.139
Ac -1.367 -0.427 2.480
Ac -2.113 1.726 -0.868
Co 0.000 0.000 0.000
La -4.845 -0.945 0.473
! distance to the lowest polymorph of the same formula = 0.119 eV/atom
! Fermi-level density of states = 10.25 states/eV/f.u.
! total moment = 0.012 μB/atom


! AcLa4Co2, relaxed, DFT PBE; values from VASP
&SYSTEM
  ibrav = 0, nat = 14, ntyp = 3
/
ATOMIC_SPECIES
Ac 227.00 Ac.upf
Co 58.93 Co.upf
La 138.91 La.upf
CELL_PARAMETERS angstrom
6.986 0.000 0.000
0.000 8.617 -3.203
0.000 -0.476 7.180
ATOMIC_POSITIONS angstrom
Ac 1.747 6.822 -2.323
Ac 5.240 1.319 6.299
Co 1.747 2.391 5.864
Co 5.240 5.750 -1.887
Co 5.240 2.877 1.647
Co 1.747 5.264 2.330
La 3.470 3.310 3.713
La 1.747 1.819 0.851
La 5.240 6.322 3.126
La 0.023 3.310 3.713
La 5.240 -0.113 2.366
La 6.963 4.830 0.264
La 3.516 4.830 0.264
La 1.747 8.254 1.610
! Fermi-level density of states = 9.00 states/eV/f.u.
! E_tot = -5.49 eV/atom
! total moment = 0.000 μB/atom


! AcLaCo, relaxed, DFT PBE; values from VASP
&SYSTEM
  ibrav = 0, nat = 3, ntyp = 3
/
ATOMIC_SPECIES
Ac 227.00 Ac.upf
Co 58.93 Co.upf
La 138.91 La.upf
CELL_PARAMETERS angstrom
-1.513 -2.446 -6.027
3.756 1.100 -1.389
-0.578 -3.758 1.670
ATOMIC_POSITIONS angstrom
Ac 1.147 -2.402 -5.009
Co -0.017 -0.028 -0.068
La 0.536 -2.674 -0.669
! distance to the lowest polymorph of the same formula = 0.004 eV/atom
! Fermi-level density of states = 3.08 states/eV/f.u.
! total moment = 0.000 μB/atom


! AcLa2Co2, relaxed, DFT PBE; values from VASP
&SYSTEM
  ibrav = 0, nat = 5, ntyp = 3
/
ATOMIC_SPECIES
Ac 227.00 Ac.upf
La 138.91 La.upf
Co 58.93 Co.upf
CELL_PARAMETERS angstrom
4.272 0.000 0.000
0.000 4.284 -1.218
0.000 -0.196 7.455
ATOMIC_POSITIONS angstrom
Ac 0.000 0.000 0.000
La 2.136 2.735 1.477
La 2.136 1.353 4.760
Co 0.000 0.862 3.033
Co 0.000 3.226 3.204
! Fermi-level density of states = 7.23 states/eV/f.u.
! E_tot = -5.65 eV/atom
! total moment = 0.199 μB/atom


! AcLaCo, relaxed, DFT PBE; values from VASP
&SYSTEM
  ibrav = 0, nat = 6, ntyp = 3
/
ATOMIC_SPECIES
Ac 227.00 Ac.upf
La 138.91 La.upf
Co 58.93 Co.upf
CELL_PARAMETERS angstrom
3.884 0.001 -0.003
-0.002 7.264 -0.001
-1.944 -3.631 6.346
ATOMIC_POSITIONS angstrom
Ac 1.710 2.650 2.988
Ac -0.232 -0.982 2.456
La -0.232 0.726 5.895
La -0.233 -2.690 5.895
Co 1.712 -0.981 4.556
Co -0.233 2.649 0.887
! distance to the lowest polymorph of the same formula = 0.013 eV/atom
! Fermi-level density of states = 3.87 states/eV/f.u.
! total moment = 0.000 μB/atom


! Ac2La3Co2, relaxed, DFT PBE; values from VASP
&SYSTEM
  ibrav = 0, nat = 7, ntyp = 3
/
ATOMIC_SPECIES
Ac 227.00 Ac.upf
La 138.91 La.upf
Co 58.93 Co.upf
CELL_PARAMETERS angstrom
3.756 -0.004 1.066
1.367 6.047 2.373
-0.584 -0.190 9.200
ATOMIC_POSITIONS angstrom
Ac 1.157 2.670 3.098
Ac 3.382 3.183 9.542
La 1.878 -0.002 0.533
La 2.320 4.879 6.154
La 2.219 0.974 6.486
Co 1.427 5.404 9.292
Co 3.113 0.449 3.347
! Fermi-level density of states = 8.52 states/eV/f.u.
! E_tot = -5.38 eV/atom
! total moment = 0.000 μB/atom


! AcLa4Co, relaxed, DFT PBE; values from VASP
&SYSTEM
  ibrav = 0, nat = 12, ntyp = 3
/
ATOMIC_SPECIES
Ac 227.00 Ac.upf
La 138.91 La.upf
Co 58.93 Co.upf
CELL_PARAMETERS angstrom
6.756 0.000 -0.001
0.000 7.491 0.248
-3.380 -2.794 8.260
ATOMIC_POSITIONS angstrom
Ac 6.250 5.619 0.186
Ac -2.874 -0.922 8.321
La 0.576 -2.076 6.619
La 3.955 3.026 1.763
La 2.800 6.773 1.888
La -0.578 1.671 6.744
La 3.884 4.697 5.197
La 0.506 3.745 3.432
La -0.507 0.000 3.309
La 2.870 0.953 5.074
Co 1.688 -1.397 4.129
Co -1.690 2.349 4.254
! distance to the lowest polymorph of the same formula = 0.000 eV/atom
! Fermi-level density of states = 8.60 states/eV/f.u.
! total moment = 0.000 μB/atom


! Ac6LaCo2, relaxed, DFT PBE; values from VASP
&SYSTEM
  ibrav = 0, nat = 9, ntyp = 3
/
ATOMIC_SPECIES
Ac 227.00 Ac.upf
La 138.91 La.upf
Co 58.93 Co.upf
CELL_PARAMETERS angstrom
-2.933 -6.510 2.448
4.202 -4.713 4.137
-1.707 -0.637 7.896
ATOMIC_POSITIONS angstrom
Ac -0.558 -4.555 5.326
Ac 2.103 -6.448 7.351
Ac -1.392 -7.971 6.874
Ac 0.418 -6.183 10.760
Ac -3.332 -5.427 8.947
Ac -0.198 -2.605 8.582
La 0.245 -9.733 9.324
Co 0.218 -3.442 2.745
Co -0.538 -5.467 8.092
! Fermi-level density of states = 10.45 states/eV/f.u.
! E_tot = -4.74 eV/atom
! total moment = 0.000 μB/atom


! Ac12LaCo6, relaxed, DFT PBE; values from VASP
&SYSTEM
  ibrav = 0, nat = 19, ntyp = 3
/
ATOMIC_SPECIES
Ac 227.00 Ac.upf
La 138.91 La.upf
Co 58.93 Co.upf
CELL_PARAMETERS angstrom
8.754 0.000 3.094
-4.376 7.576 3.092
0.002 0.000 9.279
ATOMIC_POSITIONS angstrom
Ac 0.781 6.130 6.957
Ac 2.163 6.632 12.333
Ac 5.704 2.390 11.602
Ac 3.599 1.446 8.509
Ac 2.217 0.944 3.133
Ac -1.324 5.186 3.864
Ac 0.555 3.836 10.053
Ac 6.821 1.445 6.224
Ac 0.284 2.391 6.145
Ac 3.825 3.740 5.413
Ac -2.440 6.130 9.242
Ac 4.096 5.185 9.321
La 0.000 0.000 0.000
Co 1.258 3.799 3.765
Co -1.724 4.611 6.839
Co 0.459 6.764 9.951
Co 3.123 3.777 11.701
Co 6.104 2.965 8.627
Co 3.922 0.811 5.515
! Fermi-level density of states = 23.03 states/eV/f.u.
! E_tot = -5.11 eV/atom
! total moment = 0.000 μB/atom


! Ac5La2Co2, relaxed, DFT PBE; values from VASP
&SYSTEM
  ibrav = 0, nat = 9, ntyp = 3
/
ATOMIC_SPECIES
Ac 227.00 Ac.upf
La 138.91 La.upf
Co 58.93 Co.upf
CELL_PARAMETERS angstrom
-2.486 3.162 -1.119
-4.160 -5.283 2.101
-0.455 3.664 11.366
ATOMIC_POSITIONS angstrom
Ac -3.594 0.606 1.908
Ac -3.507 0.937 10.440
Ac -5.358 0.956 6.816
Ac -1.743 0.587 5.532
Ac 0.000 0.000 0.000
La -2.169 3.786 7.731
La -4.932 -2.243 4.617
Co -6.255 1.215 9.541
Co -0.846 0.328 2.807
! Fermi-level density of states = 12.26 states/eV/f.u.
! E_tot = -4.99 eV/atom
! total moment = 0.000 μB/atom


! Ac4LaCo, relaxed, DFT PBE; values from VASP
&SYSTEM
  ibrav = 0, nat = 12, ntyp = 3
/
ATOMIC_SPECIES
Ac 227.00 Ac.upf
La 138.91 La.upf
Co 58.93 Co.upf
CELL_PARAMETERS angstrom
-1.119 -5.873 -0.835
0.976 -1.300 7.842
-9.074 4.563 1.887
ATOMIC_POSITIONS angstrom
Ac -7.841 -2.027 2.936
Ac -1.316 -0.664 6.439
Ac -9.596 1.587 1.696
Ac -0.052 -3.623 3.733
Ac -3.857 -2.986 4.348
Ac -5.783 0.938 1.149
Ac -4.331 -2.333 0.390
Ac -5.317 0.297 5.038
La -7.140 -2.713 6.828
La -2.016 0.021 2.554
Co -1.634 -3.641 5.980
Co -7.524 0.952 3.385
! Fermi-level density of states = 10.00 states/eV/f.u.
! E_tot = -4.67 eV/atom
! total moment = 0.000 μB/atom